(1)
Compound: PrZrSn
Source: OQMD via LeMat-Bulk
Functional: PBE-GGA
Structure: relaxed

abc: 5.0667 5.0667 5.0667
angles: 60.00 60.00 60.00
Atoms (fractional coordinates):
Pr1 0.0000 0.0000 0.0000
Zr1 0.5000 0.5000 0.5000
Sn1 0.2500 0.2500 0.2500

Computed properties:
Energy = -5.910 eV/atom
Size of the total moment = 0.003 μB/f.u.

***

(2)
Compound: Li3Nb2Te3O12
Source: OQMD via LeMat-Bulk
Functional: PBE-GGA
Structure: relaxed

abc: 10.6535 10.6535 10.6535
angles: 109.47 109.47 109.47
Atoms (fractional coordinates):
Li1 0.1250 0.7500 0.8750
Li2 0.1250 0.8750 0.2500
Li3 0.2500 0.1250 0.8750
Li4 0.2500 0.6250 0.3750
Li5 0.3750 0.2500 0.6250
Li6 0.3750 0.6250 0.7500
Li7 0.6250 0.3750 0.2500
Li8 0.6250 0.7500 0.3750
Li9 0.7500 0.3750 0.6250
Li10 0.7500 0.8750 0.1250
Li11 0.8750 0.1250 0.7500
Li12 0.8750 0.2500 0.1250
Nb1 0.0000 0.0000 0.0000
Nb2 0.0000 0.0000 0.5000
Nb3 0.0000 0.5000 0.0000
Nb4 0.0000 0.5000 0.5000
Nb5 0.5000 0.0000 0.0000
Nb6 0.5000 0.0000 0.5000
Nb7 0.5000 0.5000 0.0000
Nb8 0.5000 0.5000 0.5000
Te1 0.1250 0.2500 0.3750
Te2 0.1250 0.3750 0.7500
Te3 0.2500 0.3750 0.1250
Te4 0.2500 0.8750 0.6250
Te5 0.3750 0.1250 0.2500
Te6 0.3750 0.7500 0.1250
Te7 0.6250 0.2500 0.8750
Te8 0.6250 0.8750 0.7500
Te9 0.7500 0.1250 0.3750
Te10 0.7500 0.6250 0.8750
Te11 0.8750 0.6250 0.2500
Te12 0.8750 0.7500 0.6250
O1 0.0334 0.2098 0.1286
O2 0.0334 0.3236 0.9048
O3 0.0812 0.7098 0.6764
O4 0.0812 0.8714 0.4048
O5 0.0952 0.6286 0.4188
O6 0.0952 0.9666 0.6764
O7 0.1286 0.0334 0.2098
O8 0.1286 0.5952 0.9188
O9 0.1764 0.2098 0.5812
O10 0.1764 0.4666 0.5952
O11 0.2098 0.1286 0.0334
O12 0.2098 0.5812 0.1764
O13 0.2902 0.3236 0.9188
O14 0.2902 0.4666 0.3714
O15 0.3236 0.9048 0.0334
O16 0.3236 0.9188 0.2902
O17 0.3714 0.2902 0.4666
O18 0.3714 0.5812 0.9048
O19 0.4048 0.0812 0.8714
O20 0.4048 0.8236 0.5334
O21 0.4188 0.0952 0.6286
O22 0.4188 0.8236 0.7902
O23 0.4666 0.3714 0.2902
O24 0.4666 0.5952 0.1764
O25 0.5334 0.4048 0.8236
O26 0.5334 0.6286 0.7098
O27 0.5812 0.1764 0.2098
O28 0.5812 0.9048 0.3714
O29 0.5952 0.1764 0.4666
O30 0.5952 0.9188 0.1286
O31 0.6286 0.4188 0.0952
O32 0.6286 0.7098 0.5334
O33 0.6764 0.0812 0.7098
O34 0.6764 0.0952 0.9666
O35 0.7098 0.5334 0.6286
O36 0.7098 0.6764 0.0812
O37 0.7902 0.4188 0.8236
O38 0.7902 0.8714 0.9666
O39 0.8236 0.5334 0.4048
O40 0.8236 0.7902 0.4188
O41 0.8714 0.4048 0.0812
O42 0.8714 0.9666 0.7902
O43 0.9048 0.0334 0.3236
O44 0.9048 0.3714 0.5812
O45 0.9188 0.1286 0.5952
O46 0.9188 0.2902 0.3236
O47 0.9666 0.6764 0.0952
O48 0.9666 0.7902 0.8714

Computed properties:
Energy = -6.339 eV/atom
Size of the total moment = 0.000 μB/f.u.

***

(3)
Compound: NaGdNi
Source: OQMD via LeMat-Bulk
Functional: PBE-GGA
Structure: relaxed

abc: 4.7277 4.7277 4.7277
angles: 60.00 60.00 60.00
Atoms (fractional coordinates):
Na1 0.0000 0.0000 0.0000
Gd1 0.2500 0.2500 0.2500
Ni1 0.5000 0.5000 0.5000

Computed properties:
Size of the total moment = 0.001 μB/f.u.
Relative energy among the computed polymorphs = 0.000 eV per atom

***

(4)
Compound: LaTbTlTe3
Source: OQMD via LeMat-Bulk
Functional: PBE-GGA
Structure: relaxed

abc: 8.0031 8.0031 12.5399
angles: 90.00 90.00 146.17
Atoms (fractional coordinates):
La1 0.0000 0.0000 0.0000
La2 0.0000 0.0000 0.5000
Tb1 0.4466 0.5534 0.7500
Tb2 0.5534 0.4466 0.2500
Tl1 0.2515 0.7485 0.2500
Tl2 0.7485 0.2515 0.7500
Te1 0.0700 0.9300 0.7500
Te2 0.3547 0.6453 0.5439
Te3 0.3547 0.6453 0.9561
Te4 0.6453 0.3547 0.0439
Te5 0.6453 0.3547 0.4561
Te6 0.9300 0.0700 0.2500

Computed properties:
Energy = -4.577 eV/atom
Size of the total moment = 0.033 μB/f.u.

***

(5)
Compound: SmErMo
Source: OQMD via LeMat-Bulk
Functional: PBE-GGA
Structure: relaxed

abc: 4.9231 4.9231 4.9231
angles: 60.00 60.00 60.00
Atoms (fractional coordinates):
Sm1 0.0000 0.0000 0.0000
Er1 0.7500 0.7500 0.7500
Mo1 0.2500 0.2500 0.2500

Computed properties:
Energy of formation = 1.281 eV per atom
Size of the total moment = 1.776 μB/f.u.

***

(6)
Compound: RbPmNO
Source: OQMD via LeMat-Bulk
Functional: PBE-GGA
Structure: relaxed

abc: 3.8466 3.8466 4.7935
angles: 90.00 90.00 90.00
Atoms (fractional coordinates):
Rb1 0.0000 0.0000 0.0000
Pm1 0.5000 0.5000 0.5000
N1 0.0000 0.0000 0.5000
O1 0.5000 0.5000 0.0000

Computed properties:
Size of the total moment = 0.000 μB/f.u.
Relative energy among the computed polymorphs = 0.269 eV per atom

***

(7)
Compound: ErCoPt
Source: OQMD via LeMat-Bulk
Functional: PBE-GGA
Structure: relaxed

abc: 4.3133 4.3133 4.3133
angles: 60.00 60.00 60.00
Atoms (fractional coordinates):
Er1 0.0000 0.0000 0.0000
Co1 0.2500 0.2500 0.2500
Pt1 0.5000 0.5000 0.5000

Computed properties:
Energy of formation = -0.353 eV per atom
Size of the total moment = 1.327 μB/f.u.

***

(8)
Compound: Cs2K2CdSb2
Source: OQMD via LeMat-Bulk
Functional: PBE-GGA
Structure: relaxed

abc: 10.5556 10.5556 10.5556
angles: 35.42 35.42 35.42
Atoms (fractional coordinates):
Cs1 0.1170 0.1170 0.1170
Cs2 0.8830 0.8830 0.8830
K1 0.2918 0.2918 0.2918
K2 0.7082 0.7082 0.7082
Cd1 0.5000 0.5000 0.5000
Sb1 0.4091 0.4091 0.4091
Sb2 0.5909 0.5909 0.5909

Computed properties:
Relative energy among the computed polymorphs = 0.009 eV per atom

***

(9)
Compound: Sc2TcHg
Source: OQMD via LeMat-Bulk
Functional: PBE-GGA
Structure: relaxed

abc: 8.2053 8.2053 8.2053
angles: 146.45 131.81 59.99
Atoms (fractional coordinates):
Sc1 0.0835 0.3334 0.7501
Sc2 0.2502 0.0000 0.2502
Sc3 0.4167 0.6666 0.7501
Sc4 0.5833 0.3334 0.2499
Sc5 0.7498 0.0000 0.7498
Sc6 0.9165 0.6666 0.2499
Tc1 0.1667 0.1667 0.0000
Tc2 0.5000 0.5000 0.0000
Tc3 0.8333 0.8333 0.0000
Hg1 0.0000 0.5000 0.5000
Hg2 0.3330 0.8330 0.5000
Hg3 0.6670 0.1670 0.5000

Computed properties:
Energy of formation = -0.268 eV per atom
Size of the total moment = 0.040 μB/f.u.

***

(10)
Compound: TlNiAgTe2Se
Source: OQMD via LeMat-Bulk
Functional: PBE-GGA
Structure: relaxed

abc: 7.1551 7.1551 11.0567
angles: 90.00 90.00 148.43
Atoms (fractional coordinates):
Tl1 0.2313 0.7687 0.7500
Tl2 0.7687 0.2313 0.2500
Ni1 0.5000 0.5000 0.0000
Ni2 0.5000 0.5000 0.5000
Ag1 0.0992 0.9008 0.2500
Ag2 0.9008 0.0992 0.7500
Te1 0.1200 0.8800 0.0044
Te2 0.1200 0.8800 0.4956
Te3 0.8800 0.1200 0.5044
Te4 0.8800 0.1200 0.9956
Se1 0.4594 0.5406 0.2500
Se2 0.5406 0.4594 0.7500

Computed properties:
Energy = -3.502 eV/atom
Size of the total moment = 0.002 μB/f.u.

***

(11)
Compound: AgTePbF
Source: OQMD via LeMat-Bulk
Functional: PBE-GGA
Structure: relaxed

abc: 11.6452 11.6452 11.6452
angles: 21.89 21.89 21.89
Atoms (fractional coordinates):
Ag1 0.1898 0.1898 0.1898
Ag2 0.8102 0.8102 0.8102
Te1 0.1055 0.1055 0.1055
Te2 0.8945 0.8945 0.8945
Pb1 0.3819 0.3819 0.3819
Pb2 0.6181 0.6181 0.6181
F1 0.3074 0.3074 0.3074
F2 0.6926 0.6926 0.6926

Computed properties:
Relative energy among the computed polymorphs = 0.036 eV per atom

***

(12)
Compound: LiTbFeTe3
Source: OQMD via LeMat-Bulk
Functional: PBE-GGA
Structure: relaxed

abc: 8.4810 4.1285 9.8531
angles: 90.00 101.68 90.00
Atoms (fractional coordinates):
Li1 0.1847 0.2500 0.2420
Li2 0.8153 0.7500 0.7580
Tb1 0.3324 0.7500 0.8428
Tb2 0.6676 0.2500 0.1572
Fe1 0.0658 0.2500 0.5757
Fe2 0.9342 0.7500 0.4243
Te1 0.0667 0.2500 0.8437
Te2 0.2465 0.7500 0.5183
Te3 0.4052 0.7500 0.1644
Te4 0.5948 0.2500 0.8356
Te5 0.7535 0.2500 0.4817
Te6 0.9333 0.7500 0.1563

Computed properties:
Size of the total moment = 3.597 μB/f.u.
Relative energy among the computed polymorphs = 0.001 eV per atom